[1]
Material: Y6Sb2PbSe3
Method: DFT, PBE-GGA
State: relaxed

Cell and atoms, written as POSCAR:
```
Y6Sb2PbSe3
1.0
-0.631 -3.413 2.479
6.043 2.749 5.323
-7.386 5.598 2.156
Sb Pb Y Se
2 1 6 3
direct
0.167 0.333 0.333 Sb
0.833 0.667 0.667 Sb
0.500 0.000 0.000 Pb
0.003 0.744 0.005 Y
0.335 0.412 0.670 Y
0.331 0.923 0.663 Y
0.669 0.077 0.337 Y
0.665 0.588 0.330 Y
0.997 0.256 0.995 Y
0.168 0.832 0.335 Se
0.832 0.168 0.665 Se
0.500 0.500 0.000 Se
```

Calculated values
The density of states at the Fermi level comes out at 0.372 states/eV/atom. Its energy is -6.46 eV per atom. Its uncorrected formation energy is -1.363 eV per atom. For the volume, the calculation gives 327.96 Å³ per cell.

[2]
Material: SnPbSe2
Method: DFT, PBE-GGA
State: relaxed

Cell and atoms, written as POSCAR:
```
SnPbSe2
1.0
-5.826 -3.374 1.215
2.520 -2.203 5.967
-4.190 2.709 6.693
Se Pb Sn
4 2 2
direct
0.615 0.125 0.250 Se
0.375 0.385 0.750 Se
0.875 0.865 0.750 Se
0.135 0.625 0.250 Se
0.000 0.000 0.000 Pb
0.750 0.250 0.500 Pb
0.500 0.500 0.000 Sn
0.250 0.750 0.500 Sn
```

Calculated values
The density of states at the Fermi level comes out at 0.000 states/eV/atom. Its energy is -3.97 eV per atom. Its uncorrected formation energy is -0.296 eV per atom. The energy above the most stable polymorph in this dataset is 203 meV/atom. For the volume, the calculation gives 318.42 Å³ per cell.